1.
# AcPr3Nd2S6

A relaxed AcPr3Nd2S6 crystal (PBE-GGA, Alexandria via LeMat-Bulk).

Computed properties:
As for the total energy: -6.412 eV per atom. As for the space-group type: C2/m (12).

a = 7.1612 Å, b = 7.1612 Å, c = 7.1439 Å
α = 99.63°, β = 99.63°, γ = 120.14°
With the nearest neighbours (Å) after each atom.
Fractional coordinates of all 12 atoms:
Ac (0.0000, 0.0000, 0.0000)  6 S 2.96-2.97
Pr (0.1651, 0.8349, 0.5000)  6 S 2.88-2.93
Pr (0.8349, 0.1651, 0.5000)  6 S 2.88-2.93
Pr (0.5000, 0.5000, 0.5000)  6 S 2.88-2.93
Nd (0.3326, 0.6674, 0.0000)  6 S 2.90-2.91
Nd (0.6674, 0.3326, 0.0000)  6 S 2.90-2.91
S (0.9155, 0.5751, 0.7474)  3 Pr 2.88-2.93, 2 Nd 2.90-2.91, 1 Ac 2.97
S (0.7422, 0.7422, 0.2496)  3 Pr 2.88-2.93, 2 Nd 2.90, 1 Ac 2.96
S (0.0845, 0.4249, 0.2526)  3 Pr 2.88-2.93, 2 Nd 2.90-2.91, 1 Ac 2.97
S (0.5751, 0.9155, 0.7474)  3 Pr 2.88-2.93, 2 Nd 2.90-2.91, 1 Ac 2.97
S (0.2578, 0.2578, 0.7504)  3 Pr 2.88-2.93, 2 Nd 2.90, 1 Ac 2.96
S (0.4249, 0.0845, 0.2526)  3 Pr 2.88-2.93, 2 Nd 2.90-2.91, 1 Ac 2.97

***

2.
# Ac3PrNd2S6

A relaxed Ac3PrNd2S6 crystal (PBE-GGA, Alexandria via LeMat-Bulk).

Computed properties:
As for the total energy: -6.298 eV per atom. As for the space-group type: C2/m (12).

a = 7.2591 Å, b = 7.2591 Å, c = 7.2741 Å
α = 99.60°, β = 99.60°, γ = 120.08°
With the nearest neighbours (Å) after each atom.
Fractional coordinates of all 12 atoms:
Ac (0.1661, 0.8339, 0.5000)  6 S 3.01-3.03
Ac (0.8339, 0.1661, 0.5000)  6 S 3.01-3.03
Ac (0.5000, 0.5000, 0.5000)  6 S 3.01-3.03
Pr (0.0000, 0.0000, 0.0000)  6 S 2.92
Nd (0.3334, 0.6666, 0.0000)  6 S 2.90-2.91
Nd (0.6666, 0.3334, 0.0000)  6 S 2.90-2.91
S (0.9214, 0.5863, 0.7638)  2 Nd 2.91, 1 Pr 2.92, 3 Ac 3.01-3.03
S (0.7432, 0.7432, 0.2356)  2 Nd 2.90, 1 Pr 2.92, 3 Ac 3.01-3.02
S (0.0786, 0.4137, 0.2362)  2 Nd 2.91, 1 Pr 2.92, 3 Ac 3.01-3.03
S (0.5863, 0.9214, 0.7638)  2 Nd 2.91, 1 Pr 2.92, 3 Ac 3.01-3.03
S (0.2568, 0.2568, 0.7644)  2 Nd 2.90, 1 Pr 2.92, 3 Ac 3.01-3.02
S (0.4137, 0.0786, 0.2362)  2 Nd 2.91, 1 Pr 2.92, 3 Ac 3.01-3.03

***

3.
# Ac2PrNd3S6

A relaxed Ac2PrNd3S6 crystal (PBE-GGA, Alexandria via LeMat-Bulk).

Computed properties:
As for the total energy: -6.353 eV per atom. As for the space-group type: C2/m (12).

a = 7.1961 Å, b = 7.1961 Å, c = 7.2089 Å
α = 99.59°, β = 99.59°, γ = 120.12°
With the nearest neighbours (Å) after each atom.
Fractional coordinates of all 12 atoms:
Ac (0.3339, 0.6661, 0.0000)  6 S 3.00
Ac (0.6661, 0.3339, 0.0000)  6 S 3.00
Pr (0.0000, 0.0000, 0.0000)  6 S 2.95-2.96
Nd (0.1671, 0.8329, 0.5000)  6 S 2.88-2.92
Nd (0.8329, 0.1671, 0.5000)  6 S 2.88-2.92
Nd (0.5000, 0.5000, 0.5000)  6 S 2.88-2.92
S (0.9133, 0.5848, 0.7395)  3 Nd 2.88-2.92, 1 Pr 2.95, 2 Ac 3.00
S (0.7595, 0.7595, 0.2623)  3 Nd 2.88-2.92, 1 Pr 2.96, 2 Ac 3.00
S (0.0867, 0.4152, 0.2605)  3 Nd 2.88-2.92, 1 Pr 2.95, 2 Ac 3.00
S (0.5848, 0.9133, 0.7395)  3 Nd 2.88-2.92, 1 Pr 2.95, 2 Ac 3.00
S (0.2405, 0.2405, 0.7377)  3 Nd 2.88-2.92, 1 Pr 2.96, 2 Ac 3.00
S (0.4152, 0.0867, 0.2605)  3 Nd 2.88-2.92, 1 Pr 2.95, 2 Ac 3.00

***

4.
# AcPrNdS3

A relaxed AcPrNdS3 crystal (PBE-GGA, Alexandria via LeMat-Bulk).

Computed properties:
As for the total energy: -6.131 eV per atom. As for the space-group type: P2_1/m (11).

a = 4.1407 Å, b = 7.9961 Å, c = 10.3993 Å
α = 102.41°, β = 90.00°, γ = 90.00°
With the nearest neighbours (Å) after each atom.
Fractional coordinates of all 12 atoms:
Ac (0.2500, 0.1831, 0.2085)  7 S 3.02-3.27
Ac (0.7500, 0.8169, 0.7915)  7 S 3.02-3.27
Pr (0.2500, 0.6611, 0.0953)  5 S 2.84-2.95
Pr (0.7500, 0.3389, 0.9047)  5 S 2.84-2.95
Nd (0.2500, 0.1806, 0.6193)  5 S 2.85-3.07
Nd (0.7500, 0.8194, 0.3807)  5 S 2.85-3.07
S (0.7500, 0.9089, 0.1136)  2 Pr 2.84, 1 Nd 3.01, 2 Ac 3.02
S (0.2500, 0.0911, 0.8864)  2 Pr 2.84, 1 Nd 3.01, 2 Ac 3.02
S (0.2500, 0.8125, 0.5682)  3 Nd 2.85-2.88, 2 Ac 3.11
S (0.7500, 0.1875, 0.4318)  3 Nd 2.85-2.88, 2 Ac 3.11
S (0.7500, 0.4672, 0.1923)  3 Pr 2.89-2.95, 1 Nd 3.07, 2 Ac 3.10
S (0.2500, 0.5328, 0.8077)  3 Pr 2.89-2.95, 1 Nd 3.07, 2 Ac 3.10

***

5.
# AcPrNd2Sb4

A relaxed AcPrNd2Sb4 crystal (PBE-GGA, Alexandria via LeMat-Bulk).

Computed properties:
As for the total energy: -5.548 eV per atom. As for the space-group type: P2/m (10).

a = 4.6057 Å, b = 7.9743 Å, c = 7.9751 Å
α = 70.56°, β = 90.00°, γ = 90.00°
With the nearest neighbours (Å) after each atom.
Fractional coordinates of all 8 atoms:
Ac (0.5000, 0.5000, 0.0000)  6 Sb 3.32
Pr (0.0000, 0.5000, 0.5000)  6 Sb 3.27
Nd (0.0000, 0.0000, 0.0000)  6 Sb 3.25
Nd (0.5000, 0.0000, 0.5000)  6 Sb 3.19
Sb (0.0000, 0.7604, 0.7410)  3 Nd 3.19-3.25, 1 Pr 3.27, 2 Ac 3.32
Sb (0.0000, 0.2396, 0.2590)  3 Nd 3.19-3.25, 1 Pr 3.27, 2 Ac 3.32
Sb (0.5000, 0.7561, 0.2534)  3 Nd 3.19-3.25, 2 Pr 3.27, 1 Ac 3.32
Sb (0.5000, 0.2439, 0.7466)  3 Nd 3.19-3.25, 2 Pr 3.27, 1 Ac 3.32

***

6.
# Ac2PrNdSb4

A relaxed Ac2PrNdSb4 crystal (PBE-GGA, Alexandria via LeMat-Bulk).

Computed properties:
As for the total energy: -5.475 eV per atom. As for the space-group type: P2/m (10).

a = 4.6714 Å, b = 8.0992 Å, c = 8.0853 Å
α = 70.57°, β = 90.00°, γ = 90.00°
With the nearest neighbours (Å) after each atom.
Fractional coordinates of all 8 atoms:
Ac (0.0000, 0.0000, 0.0000)  6 Sb 3.36
Ac (0.5000, 0.0000, 0.5000)  6 Sb 3.37
Pr (0.0000, 0.5000, 0.5000)  6 Sb 3.25
Nd (0.5000, 0.5000, 0.0000)  6 Sb 3.24
Sb (0.0000, 0.7362, 0.7555)  2 Nd 3.24, 1 Pr 3.25, 3 Ac 3.36-3.37
Sb (0.0000, 0.2638, 0.2445)  2 Nd 3.24, 1 Pr 3.25, 3 Ac 3.36-3.37
Sb (0.5000, 0.7369, 0.2534)  1 Nd 3.24, 2 Pr 3.25, 3 Ac 3.36-3.37
Sb (0.5000, 0.2631, 0.7466)  1 Nd 3.24, 2 Pr 3.25, 3 Ac 3.36-3.37

***

7.
# AcPrNdSc

A relaxed AcPrNdSc crystal (PBE-GGA, Alexandria via LeMat-Bulk).

Computed properties:
As for the total energy: -4.802 eV per atom. The formation energy from the elements comes out at 195 meV per atom. As for the space-group type: F-43m (216).

a = 5.8387 Å, b = 5.8387 Å, c = 5.8387 Å
α = 60.00°, β = 60.00°, γ = 60.00°
With the nearest neighbours (Å) after each atom.
Fractional coordinates of all 4 atoms:
Pr (0.2500, 0.2500, 0.2500)  4 Ac 3.58, 4 Sc 3.58
Sc (0.0000, 0.0000, 0.0000)  4 Nd 3.58, 4 Pr 3.58
Ac (0.5000, 0.5000, 0.5000)  4 Pr 3.58, 4 Nd 3.58
Nd (0.7500, 0.7500, 0.7500)  4 Sc 3.58, 4 Ac 3.58

***

8.
# Ac3PrNd2Se6

A relaxed Ac3PrNd2Se6 crystal (PBE-GGA, Alexandria via LeMat-Bulk).

Computed properties:
As for the total energy: -5.815 eV per atom. As for the space-group type: C2/m (12).

a = 7.5363 Å, b = 7.5363 Å, c = 7.5566 Å
α = 99.57°, β = 99.57°, γ = 120.16°
With the nearest neighbours (Å) after each atom.
Fractional coordinates of all 12 atoms:
Ac (0.1659, 0.8341, 0.5000)  6 Se 3.13-3.14
Ac (0.8341, 0.1659, 0.5000)  6 Se 3.13-3.14
Ac (0.5000, 0.5000, 0.5000)  6 Se 3.13-3.14
Pr (0.0000, 0.0000, 0.0000)  6 Se 3.03
Nd (0.3334, 0.6666, 0.0000)  6 Se 3.01-3.02
Nd (0.6666, 0.3334, 0.0000)  6 Se 3.01-3.02
Se (0.9213, 0.5862, 0.7635)  2 Nd 3.02, 1 Pr 3.03, 3 Ac 3.13-3.14
Se (0.7433, 0.7433, 0.2358)  2 Nd 3.01, 1 Pr 3.03, 3 Ac 3.13-3.14
Se (0.0787, 0.4138, 0.2365)  2 Nd 3.02, 1 Pr 3.03, 3 Ac 3.13-3.14
Se (0.5862, 0.9213, 0.7635)  2 Nd 3.02, 1 Pr 3.03, 3 Ac 3.13-3.14
Se (0.2567, 0.2567, 0.7642)  2 Nd 3.01, 1 Pr 3.03, 3 Ac 3.13-3.14
Se (0.4138, 0.0787, 0.2365)  2 Nd 3.02, 1 Pr 3.03, 3 Ac 3.13-3.14

***

9.
# Ac3Pr2NdSe6

A relaxed Ac3Pr2NdSe6 crystal (PBE-GGA, Alexandria via LeMat-Bulk).

Computed properties:
As for the total energy: -5.817 eV per atom. As for the space-group type: C2/m (12).

a = 7.5516 Å, b = 7.5516 Å, c = 7.5580 Å
α = 99.59°, β = 99.59°, γ = 120.16°
With the nearest neighbours (Å) after each atom.
Fractional coordinates of all 12 atoms:
Ac (0.1675, 0.8325, 0.5000)  6 Se 3.13-3.14
Ac (0.8325, 0.1675, 0.5000)  6 Se 3.13-3.14
Ac (0.5000, 0.5000, 0.5000)  6 Se 3.13-3.14
Pr (0.3335, 0.6665, 0.0000)  6 Se 3.04
Pr (0.6665, 0.3335, 0.0000)  6 Se 3.04
Nd (0.0000, 0.0000, 0.0000)  6 Se 3.02
Se (0.9212, 0.5896, 0.7630)  1 Nd 3.02, 2 Pr 3.04, 3 Ac 3.13-3.14
Se (0.7478, 0.7478, 0.2381)  1 Nd 3.02, 2 Pr 3.04, 3 Ac 3.13-3.14
Se (0.0788, 0.4104, 0.2370)  1 Nd 3.02, 2 Pr 3.04, 3 Ac 3.13-3.14
Se (0.5896, 0.9212, 0.7630)  1 Nd 3.02, 2 Pr 3.04, 3 Ac 3.13-3.14
Se (0.2522, 0.2522, 0.7619)  1 Nd 3.02, 2 Pr 3.04, 3 Ac 3.13-3.14
Se (0.4104, 0.0788, 0.2370)  1 Nd 3.02, 2 Pr 3.04, 3 Ac 3.13-3.14

***

10.
# AcPrNd4Se8

A relaxed AcPrNd4Se8 crystal (PBE-GGA, Alexandria via LeMat-Bulk).

Computed properties:
As for the total energy: -5.728 eV per atom. As for the space-group type: R3m (160).

a = 8.7872 Å, b = 8.7872 Å, c = 8.8030 Å
α = 60.06°, β = 60.06°, γ = 60.00°
With the nearest neighbours (Å) after each atom.
Fractional coordinates of all 14 atoms:
Ac (0.3747, 0.3747, 0.8760)  4 Se 2.95-2.96
Pr (0.9979, 0.9979, 0.0063)  6 Se 3.01-3.02
Nd (0.6253, 0.6253, 0.1240)  4 Se 2.83-2.84
Nd (0.9979, 0.5064, 0.4978)  6 Se 2.99-3.00
Nd (0.5064, 0.9979, 0.4978)  6 Se 2.99-3.00
Nd (0.9979, 0.9979, 0.4978)  6 Se 2.99-3.00
Se (0.2390, 0.7862, 0.7359)  1 Ac 2.95, 2 Nd 2.99, 1 Pr 3.01
Se (0.7862, 0.2390, 0.7359)  1 Ac 2.95, 2 Nd 2.99, 1 Pr 3.01
Se (0.2390, 0.2390, 0.7359)  1 Ac 2.95, 2 Nd 2.99, 1 Pr 3.01
Se (0.2376, 0.2376, 0.2873)  1 Ac 2.96, 3 Nd 2.99
Se (0.7552, 0.2309, 0.2586)  3 Nd 2.83-3.00, 1 Pr 3.02
Se (0.2309, 0.7552, 0.2586)  3 Nd 2.83-3.00, 1 Pr 3.02
Se (0.7552, 0.7552, 0.2586)  3 Nd 2.83-3.00, 1 Pr 3.02
Se (0.7569, 0.7569, 0.7294)  4 Nd 2.84-3.00

***

11.
# AcPr3Nd2Se6

A relaxed AcPr3Nd2Se6 crystal (PBE-GGA, Alexandria via LeMat-Bulk).

Computed properties:
As for the total energy: -5.917 eV per atom. As for the space-group type: C2/m (12).

a = 7.4364 Å, b = 7.4364 Å, c = 7.4338 Å
α = 99.60°, β = 99.60°, γ = 120.25°
With the nearest neighbours (Å) after each atom.
Fractional coordinates of all 12 atoms:
Ac (0.0000, 0.0000, 0.0000)  6 Se 3.08-3.09
Pr (0.1639, 0.8361, 0.5000)  6 Se 3.00-3.04
Pr (0.8361, 0.1639, 0.5000)  6 Se 3.00-3.04
Pr (0.5000, 0.5000, 0.5000)  6 Se 2.99-3.04
Nd (0.3324, 0.6676, 0.0000)  6 Se 3.01-3.02
Nd (0.6676, 0.3324, 0.0000)  6 Se 3.01-3.02
Se (0.9152, 0.5745, 0.7468)  3 Pr 3.00-3.04, 2 Nd 3.02, 1 Ac 3.09
Se (0.7414, 0.7414, 0.2489)  3 Pr 2.99-3.04, 2 Nd 3.01, 1 Ac 3.08
Se (0.0848, 0.4255, 0.2532)  3 Pr 3.00-3.04, 2 Nd 3.02, 1 Ac 3.09
Se (0.5745, 0.9152, 0.7468)  3 Pr 3.00-3.04, 2 Nd 3.02, 1 Ac 3.09
Se (0.2586, 0.2586, 0.7511)  3 Pr 2.99-3.04, 2 Nd 3.01, 1 Ac 3.08
Se (0.4255, 0.0848, 0.2532)  3 Pr 3.00-3.04, 2 Nd 3.02, 1 Ac 3.09

***

12.
# AcPrNd2Se4

A relaxed AcPrNd2Se4 crystal (PBE-GGA, Alexandria via LeMat-Bulk).

Computed properties:
As for the total energy: -5.884 eV per atom. As for the space-group type: P2/m (10).

a = 4.2529 Å, b = 7.4962 Å, c = 7.4582 Å
α = 71.06°, β = 90.00°, γ = 90.00°
With the nearest neighbours (Å) after each atom.
Fractional coordinates of all 8 atoms:
Ac (0.5000, 0.5000, 0.0000)  6 Se 3.10
Pr (0.0000, 0.5000, 0.5000)  6 Se 3.05-3.06
Nd (0.0000, 0.0000, 0.0000)  6 Se 3.03
Nd (0.5000, 0.0000, 0.5000)  6 Se 2.98-2.99
Se (0.0000, 0.7610, 0.7412)  3 Nd 2.98-3.03, 1 Pr 3.06, 2 Ac 3.10
Se (0.0000, 0.2390, 0.2588)  3 Nd 2.98-3.03, 1 Pr 3.06, 2 Ac 3.10
Se (0.5000, 0.7569, 0.2525)  3 Nd 2.99-3.03, 2 Pr 3.05, 1 Ac 3.10
Se (0.5000, 0.2431, 0.7475)  3 Nd 2.99-3.03, 2 Pr 3.05, 1 Ac 3.10

***

Calculated values (g/cm³) of calculated density for the records, taken in order: 6.29, 6.92, 6.66, 6.01, 6.87, 7.06, 6.57, 7.52, 7.47, 5.44, 7.01, 7.18.
Calculated values (states/eV per cell) of DOS at the Fermi energy for the records, taken in order: 5.4, 5.7, 5.7, 4.2, 0.9, 0.9, 10.1, 6.3, 6.3, 9.2, 6.0, 5.3.